Entry 1:
Entry from the Alexandria database: BaCuH8Pt2 after structural relaxation (PBE).

The structure in POSCAR format:
```
BaCuH8Pt2
1.0
-4.400 0.927 2.013
-3.067 -3.714 1.036
-0.157 -1.375 6.322
Ba Cu H Pt
1 1 8 2
Direct
0.500 0.500 0.500 Ba
0.000 0.000 0.000 Cu
0.192 0.192 0.423 H
0.644 0.072 0.212 H
0.808 0.808 0.577 H
0.072 0.644 0.212 H
0.928 0.356 0.788 H
0.072 0.072 0.212 H
0.928 0.928 0.788 H
0.356 0.928 0.788 H
0.286 0.286 0.142 Pt
0.714 0.714 0.858 Pt
```

Properties
Total magnetic moment in μB per formula unit: 0.00
E_tot in eV/atom: -3.87

=====

Entry 2:
Entry from the Alexandria database: Rb2BaCu2H6 after structural relaxation (PBE).

The structure in POSCAR format:
```
Rb2BaCu2H6
1.0
5.721 0.000 0.000
-2.860 5.203 -0.040
0.000 -3.015 7.238
Rb Ba Cu H
2 1 2 6
Direct
0.692 0.384 0.146 Rb
0.308 0.616 0.854 Rb
0.500 0.000 0.500 Ba
0.953 0.905 0.742 Cu
0.047 0.095 0.258 Cu
0.786 0.572 0.635 H
0.197 0.915 0.203 H
0.282 0.085 0.797 H
0.803 0.085 0.797 H
0.718 0.915 0.203 H
0.214 0.428 0.365 H
```

Properties
Total magnetic moment in μB per formula unit: 0.00
E_tot in eV/atom: -3.09

=====

Entry 3:
Entry from the Alexandria database: Ba2CuH6Rh after structural relaxation (PBE).

The structure in POSCAR format:
```
Ba2CuH6Rh
1.0
-4.677 2.407 -2.234
0.504 -3.303 -4.636
-0.183 -2.347 5.185
Ba Cu H Rh
2 1 6 1
Direct
0.750 0.250 0.500 Ba
0.250 0.751 0.500 Ba
0.500 0.500 0.000 Cu
0.783 0.783 0.001 H
0.780 0.781 0.560 H
0.217 0.218 0.999 H
0.782 0.218 0.000 H
0.219 0.220 0.440 H
0.218 0.783 0.000 H
0.000 0.000 0.000 Rh
```

Properties
Total magnetic moment in μB per formula unit: 0.00
E_tot in eV/atom: -3.95

=====

Entry 4:
Entry from the Alexandria database: BaCuH6Ru after structural relaxation (PBE).

The structure in POSCAR format:
```
BaCuH6Ru
1.0
4.752 0.129 0.000
2.485 4.296 0.000
0.000 0.000 5.043
Ba Cu H Ru
1 1 6 1
Direct
0.997 0.001 0.000 Ba
0.656 0.672 0.500 Cu
0.038 0.481 0.308 H
0.474 0.012 0.720 H
0.475 0.514 0.721 H
0.038 0.480 0.692 H
0.476 0.513 0.279 H
0.473 0.013 0.280 H
0.373 0.314 0.500 Ru
```

Properties
Total magnetic moment in μB per formula unit: 0.00
E_tot in eV/atom: -4.14

=====

Entry 5:
Entry from the Alexandria database: Ba2CuH6Ru after structural relaxation (PBE).

The structure in POSCAR format:
```
Ba2CuH6Ru
1.0
5.029 0.000 0.000
0.000 5.665 0.000
0.000 -2.832 4.906
Ba Cu H Ru
2 1 6 1
Direct
0.242 0.333 0.667 Ba
0.758 0.667 0.333 Ba
0.500 0.000 0.000 Cu
0.787 0.144 0.288 H
0.787 0.144 0.856 H
0.787 0.712 0.856 H
0.213 0.856 0.144 H
0.213 0.288 0.144 H
0.213 0.856 0.712 H
0.000 0.000 0.000 Ru
```

Properties
Total magnetic moment in μB per formula unit: 0.69
E_tot in eV/atom: -4.08

=====

Entry 6:
Entry from the Alexandria database: BaCuSbH after structural relaxation (PBE).

The structure in POSCAR format:
```
BaCuSbH
1.0
4.531 0.000 0.000
-2.266 3.922 0.007
0.000 -0.008 5.135
Ba Cu Sb H
1 1 1 1
Direct
0.572 0.144 0.329 Ba
0.239 0.478 0.891 Cu
0.905 0.811 0.812 Sb
0.238 0.477 0.206 H
```

Properties
Total magnetic moment in μB per formula unit: 0.00
E_tot in eV/atom: -3.86